## Ge2BiPt2 (PBEsol)

Data for a relaxed structure of Ge2BiPt2.

For the density of states at the Fermi level, the calculation gives 4.693 states/eV/cell. The total moment is 0.000 μB/atom. For the total DFT energy (no corrections), the calculation gives -58.6 eV per cell.

The structure belongs to space group I4/mmm (No. 139); the cell edges are 4.015, 4.015 and 11.750 Å and the angles 90.00°, 90.00° and 90.00°. Symmetry generates all atoms from Ge at (0.000, 0.500, 0.250), Bi at (0.000, 0.000, 0.000) and Pt at (0.000, 0.000, 0.382).



## ReGe2BiPt (PBEsol)

Data for a relaxed structure of ReGe2BiPt.

For the density of states at the Fermi level, the calculation gives 2.728 states/eV/cell. The total moment is 0.636 μB/atom. For the total DFT energy (no corrections), the calculation gives -29.6 eV per cell.

The structure belongs to space group P4/mmm (No. 123); the cell edges are 4.659, 4.659 and 5.272 Å and the angles 90.00°, 90.00° and 90.00°. Symmetry generates all atoms from Re at (0.000, 0.000, 0.000), Ge at (0.000, 0.500, 0.500), Bi at (0.500, 0.500, 0.000) and Pt at (0.000, 0.000, 0.500).



## SiGe2BiPt (PBEsol)

Data for a relaxed structure of SiGe2BiPt.

For the uncorrected formation energy, the calculation gives 0.519 eV per atom. For the density of states at the Fermi level, the calculation gives 2.799 states/eV/cell. The total moment is 0.000 μB/atom. For the total DFT energy (no corrections), the calculation gives -24.3 eV per cell.

The structure belongs to space group P4/mmm (No. 123); the cell edges are 4.656, 4.656 and 5.739 Å and the angles 90.00°, 90.00° and 90.00°. Symmetry generates all atoms from Si at (0.000, 0.000, 0.000), Ge at (0.000, 0.500, 0.500), Bi at (0.500, 0.500, 0.000) and Pt at (0.500, 0.500, 0.500).